Here is an optimized crystal structure of TlAu3 from Alexandria. Energies are from GGA-PBEsol.

Unit cell a=3.0506 b=4.6629 c=5.2648 alpha=90.00 beta=90.00 gamma=90.00
Last column: nearest neighbours and their distance in Å.
Fractional positions:
Tl 0.0000 0.0000 0.0000  10 Au 2.94-3.07, 2 Tl 3.05
Au 0.0000 0.5000 0.6525  10 Au 2.89-3.16, 2 Tl 2.96
Au 0.5000 0.0000 0.5065  8 Au 2.89-3.05, 4 Tl 3.01-3.07
Au 0.5000 0.5000 0.1792  8 Au 2.90-3.16, 4 Tl 2.94

Values from the calculation:
E_form: 96 meV per atom
density of states at the Fermi level: 1.3 states/eV/cell

***

Here is an optimized crystal structure of Sc2TcC2 from Alexandria. Energies are from GGA-PBEsol.

Unit cell a=5.2040 b=5.2040 c=5.2040 alpha=138.14 beta=138.14 gamma=60.69
Last column: nearest neighbours and their distance in Å.
Fractional positions:
Sc 0.2500 0.7500 0.5000  4 C 2.43, 4 Sc 2.63
Sc 0.7500 0.2500 0.5000  4 C 2.43, 4 Sc 2.63
Tc 0.0000 0.0000 0.0000  8 C 2.72, 8 Sc 2.92
C 0.4240 0.4240 0.0000  1 C 1.36
C 0.5760 0.5760 0.0000  1 C 1.36

Values from the calculation:
E_form: 523 meV per atom
density of states at the Fermi level: 4.1 states/eV/cell

***

Here is an optimized crystal structure of As2RuPb from Alexandria. Energies are from GGA-PBEsol.

Unit cell a=8.9617 b=8.9617 c=8.9617 alpha=160.61 beta=160.22 gamma=27.84
Last column: nearest neighbours and their distance in Å.
Fractional positions:
As 0.0000 0.0000 0.0000  4 Ru 2.51
As 0.6869 0.1869 0.5000  2 Ru 2.47
Ru 0.5744 0.5744 0.0000  6 As 2.47-2.51
Pb 0.3357 0.8357 0.5000  4 Pb 3.02-3.08, 6 As 3.25-3.37

Values from the calculation:
E_form: 28 meV per atom
density of states at the Fermi level: 2.1 states/eV/cell

***

Here is an optimized crystal structure of ZnCo2Os from Alexandria. Energies are from GGA-PBEsol.

Unit cell a=8.3716 b=8.3716 c=8.3716 alpha=17.96 beta=17.96 gamma=17.96
Last column: nearest neighbours and their distance in Å.
Fractional positions:
Zn 0.0000 0.0000 0.0000  3 Co 2.55, 6 Zn 2.61, 3 Os 2.72
Co 0.2503 0.2503 0.2503  9 Co 2.42-2.61, 3 Zn 2.55
Co 0.5073 0.5073 0.5073  9 Co 2.42-2.61, 3 Os 2.53
Os 0.7584 0.7584 0.7584  3 Co 2.53, 6 Os 2.61, 3 Zn 2.72

Values from the calculation:
E_form: 162 meV per atom
density of states at the Fermi level: 4.4 states/eV/cell

***

Here is an optimized crystal structure of Al4Ag from Alexandria. Energies are from GGA-PBEsol.

Unit cell a=7.5070 b=7.5070 c=7.5070 alpha=158.22 beta=148.73 gamma=38.43
Last column: nearest neighbours and their distance in Å.
Fractional positions:
Al 0.1008 0.1008 0.0000  8 Al 2.80-2.86, 4 Ag 2.85
Al 0.2984 0.2984 0.0000  11 Al 2.80-2.85, 1 Ag 2.86
Al 0.7016 0.7016 0.0000  11 Al 2.80-2.85, 1 Ag 2.86
Al 0.8992 0.8992 0.0000  8 Al 2.80-2.86, 4 Ag 2.85
Ag 0.5000 0.5000 0.0000  2 Ag 2.84, 10 Al 2.85-2.86

Values from the calculation:
E_form: -4 meV per atom
density of states at the Fermi level: 2.0 states/eV/cell

***

Here is an optimized crystal structure of NiSBrN2 from Alexandria. Energies are from GGA-PBEsol.

Unit cell a=3.5732 b=3.5732 c=6.0390 alpha=90.00 beta=90.00 gamma=90.00
Last column: nearest neighbours and their distance in Å.
Fractional positions:
Ni 0.0000 0.0000 0.0000  4 S 2.53
S 0.5000 0.5000 0.0000  4 Ni 2.53
Br 0.5000 0.5000 0.5000  4 N 1.79
N 0.0000 0.5000 0.5000  2 Br 1.79
N 0.5000 0.0000 0.5000  2 Br 1.79

Values from the calculation:
formation energy without anion corrections: 2179 meV per atom
density of states at the Fermi level: 6.0 states/eV/cell

***

Here is an optimized crystal structure of Ta2AlPt from Alexandria. Energies are from GGA-PBEsol.

Unit cell a=3.3344 b=3.3344 c=5.8806 alpha=90.00 beta=90.00 gamma=90.00
Last column: nearest neighbours and their distance in Å.
Fractional positions:
Ta 0.0000 0.0000 0.0000  4 Ta 2.77, 4 Pt 2.85, 2 Al 2.93-2.95
Ta 0.5000 0.5000 0.2470  4 Ta 2.77, 4 Al 2.80, 2 Pt 2.83-3.05
Al 0.0000 0.0000 0.5024  4 Pt 2.70, 6 Ta 2.80-2.95
Pt 0.5000 0.5000 0.7275  4 Al 2.70, 5 Ta 2.83-2.85

Values from the calculation:
E_form: -363 meV per atom
density of states at the Fermi level: 3.3 states/eV/cell

***

Here is an optimized crystal structure of Zr2TcOs from Alexandria. Energies are from GGA-PBEsol.

Unit cell a=8.4565 b=8.4565 c=8.4565 alpha=21.30 beta=21.30 gamma=21.30
Last column: nearest neighbours and their distance in Å.
Fractional positions:
Zr 0.2489 0.2489 0.2489  3 Tc 2.72, 3 Os 2.76
Zr 0.7511 0.7511 0.7511  3 Tc 2.72, 3 Os 2.76
Tc 0.5000 0.5000 0.5000  6 Zr 2.72
Os 0.0000 0.0000 0.0000  6 Zr 2.76

Values from the calculation:
E_form: 10 meV per atom
density of states at the Fermi level: 2.7 states/eV/cell

***

Here is an optimized crystal structure of AlSbSe3 from Alexandria. Energies are from GGA-PBEsol.

Unit cell a=5.2281 b=5.2281 c=5.2281 alpha=90.00 beta=90.00 gamma=90.00
Last column: nearest neighbours and their distance in Å.
Fractional positions:
Al 0.0000 0.0000 0.0000  12 Se 3.70
Sb 0.5000 0.5000 0.5000  6 Se 2.61
Se 0.0000 0.5000 0.5000  2 Sb 2.61
Se 0.5000 0.0000 0.5000  2 Sb 2.61
Se 0.5000 0.5000 0.0000  2 Sb 2.61

Values from the calculation:
formation energy without anion corrections: 423 meV per atom
density of states at the Fermi level: 4.5 states/eV/cell

***

Here is an optimized crystal structure of YTeSe2Br from Alexandria. Energies are from GGA-PBEsol.

Unit cell a=5.4510 b=5.4510 c=5.2095 alpha=90.00 beta=90.00 gamma=90.00
Last column: nearest neighbours and their distance in Å.
Fractional positions:
Y 0.0000 0.0000 0.0000  2 Br 2.60, 4 Se 2.73
Te 0.5000 0.5000 0.5000  8 Se 3.77, 4 Br 3.85
Se 0.0000 0.5000 0.0000  2 Y 2.73
Se 0.5000 0.0000 0.0000  2 Y 2.73
Br 0.0000 0.0000 0.5000  2 Y 2.60

Values from the calculation:
formation energy without anion corrections: -451 meV per atom
density of states at the Fermi level: 3.4 states/eV/cell

***

Here is an optimized crystal structure of Ba2NiHgH from Alexandria. Energies are from GGA-PBEsol.

Unit cell a=6.1977 b=6.1977 c=3.8989 alpha=90.00 beta=90.00 gamma=90.00
Last column: nearest neighbours and their distance in Å.
Fractional positions:
Ba 0.0000 0.5000 0.0000  2 Hg 3.10
Ba 0.5000 0.0000 0.0000  2 Hg 3.10
Ni 0.0000 0.0000 0.5000  8 Ba 3.66, 2 Ni 3.90
Hg 0.5000 0.5000 0.0000  2 H 1.95
H 0.5000 0.5000 0.5000  2 Hg 1.95

Values from the calculation:
electronic total energy: -2.434 eV/atom
density of states at the Fermi level: 3.6 states/eV/cell

***

Here is an optimized crystal structure of In3CoRe from Alexandria. Energies are from GGA-PBEsol.

Unit cell a=4.7429 b=4.7429 c=4.7429 alpha=90.00 beta=90.00 gamma=90.00
Last column: nearest neighbours and their distance in Å.
Fractional positions:
In 0.0000 0.0000 0.5000  2 Co 2.37
In 0.0000 0.5000 0.0000  2 Co 2.37
In 0.5000 0.0000 0.0000  2 Co 2.37
Co 0.0000 0.0000 0.0000  6 In 2.37
Re 0.5000 0.5000 0.5000  12 In 3.35

Values from the calculation:
E_form: 1139 meV per atom
density of states at the Fermi level: 4.6 states/eV/cell

***

Here is an optimized crystal structure of RuAuBr from Alexandria. Energies are from GGA-PBEsol.

Unit cell a=3.5186 b=3.5186 c=5.7261 alpha=90.00 beta=90.00 gamma=120.00
Last column: nearest neighbours and their distance in Å.
Fractional positions:
Ru 0.0000 0.0000 0.0000  3 Br 2.40, 3 Au 2.61
Au 0.3333 0.6667 0.7138  3 Ru 2.61
Br 0.6667 0.3333 0.2244  3 Ru 2.40

Values from the calculation:
formation energy without anion corrections: 488 meV per atom

***

Here is an optimized crystal structure of BiOsCl3 from Alexandria. Energies are from GGA-PBEsol.

Unit cell a=4.7153 b=4.7153 c=4.7153 alpha=90.00 beta=90.00 gamma=90.00
Last column: nearest neighbours and their distance in Å.
Fractional positions:
Bi 0.0000 0.0000 0.0000  12 Cl 3.33
Os 0.5000 0.5000 0.5000  6 Cl 2.36
Cl 0.0000 0.5000 0.5000  2 Os 2.36
Cl 0.5000 0.0000 0.5000  2 Os 2.36
Cl 0.5000 0.5000 0.0000  2 Os 2.36

Values from the calculation:
formation energy without anion corrections: 372 meV per atom
density of states at the Fermi level: 3.4 states/eV/cell

***

Here is an optimized crystal structure of KInPb from Alexandria. Energies are from GGA-PBEsol.

Unit cell a=7.8446 b=7.8446 c=7.8446 alpha=153.88 beta=153.88 gamma=37.28
Last column: nearest neighbours and their distance in Å.
Fractional positions:
K 0.0000 0.0000 0.0000  4 K 3.55, 4 In 3.63, 4 Pb 3.72
In 0.3235 0.3235 0.0000  4 Pb 3.25, 4 In 3.55, 4 K 3.63
Pb 0.6847 0.6847 0.0000  4 In 3.25, 4 Pb 3.55

Values from the calculation:
E_form: -106 meV per atom
density of states at the Fermi level: 1.3 states/eV/cell

***

Here is an optimized crystal structure of TeHWI2 from Alexandria. Energies are from GGA-PBEsol.

Unit cell a=5.3267 b=5.3267 c=3.6952 alpha=90.00 beta=90.00 gamma=90.00
Last column: nearest neighbours and their distance in Å.
Fractional positions:
Te 0.0000 0.0000 0.0000  2 H 1.85
H 0.0000 0.0000 0.5000  2 Te 1.85
W 0.5000 0.5000 0.0000  8 I 3.24
I 0.0000 0.5000 0.5000  2 H 2.66
I 0.5000 0.0000 0.5000  2 H 2.66

Values from the calculation:
electronic total energy: -3.487 eV/atom
density of states at the Fermi level: 3.6 states/eV/cell

***

Here is an optimized crystal structure of Li2HgPt from Alexandria. Energies are from GGA-PBEsol.

Unit cell a=4.6617 b=4.6617 c=4.6617 alpha=129.54 beta=129.54 gamma=74.15
Last column: nearest neighbours and their distance in Å.
Fractional positions:
Li 0.2500 0.7500 0.5000  4 Pt 2.72, 4 Hg 2.72, 4 Li 2.81
Li 0.7500 0.2500 0.5000  4 Pt 2.72, 4 Hg 2.72, 4 Li 2.81
Hg 0.0000 0.0000 0.0000  8 Li 2.72, 4 Pt 2.81
Pt 0.5000 0.5000 0.0000  8 Li 2.72, 4 Hg 2.81

Values from the calculation:
E_form: -457 meV per atom
density of states at the Fermi level: 1.1 states/eV/cell

***

Here is an optimized crystal structure of KCd2Au2 from Alexandria. Energies are from GGA-PBEsol.

Unit cell a=8.6267 b=8.6267 c=2.8706 alpha=90.00 beta=90.00 gamma=90.00
Last column: nearest neighbours and their distance in Å.
Fractional positions:
K 0.0000 0.0000 0.0000  2 K 2.87, 4 Au 3.21
K 0.5000 0.5000 0.0000  2 K 2.87, 4 Au 3.21
Cd 0.1276 0.3724 0.5000  3 Cd 2.87-3.11, 6 Au 2.88-2.95
Cd 0.3724 0.8724 0.5000  3 Cd 2.87-3.11, 6 Au 2.88-2.95
Cd 0.6276 0.1276 0.5000  3 Cd 2.87-3.11, 6 Au 2.88-2.95
Cd 0.8724 0.6276 0.5000  3 Cd 2.87-3.11, 6 Au 2.88-2.95
Au 0.1680 0.6680 0.0000  2 Au 2.87, 6 Cd 2.88-2.95, 2 K 3.21
Au 0.3320 0.1680 0.0000  2 Au 2.87, 6 Cd 2.88-2.95, 2 K 3.21
Au 0.6680 0.8320 0.0000  2 Au 2.87, 6 Cd 2.88-2.95, 2 K 3.21
Au 0.8320 0.3320 0.0000  2 Au 2.87, 6 Cd 2.88-2.95, 2 K 3.21

Values from the calculation:
E_form: -196 meV per atom
density of states at the Fermi level: 2.3 states/eV/cell

***

Here is an optimized crystal structure of NaTi2BiO6 from Alexandria. Energies are from GGA-PBEsol.

Unit cell a=5.5076 b=5.5076 c=5.5076 alpha=59.29 beta=59.29 gamma=59.29
Last column: nearest neighbours and their distance in Å.
Fractional positions:
Na 0.0000 0.0000 0.0000  6 O 2.42-2.52
Ti 0.2575 0.2575 0.2575  3 O 1.86
Ti 0.7607 0.7607 0.7607  6 O 1.88-2.07
Bi 0.4892 0.4892 0.4892  6 O 2.32-2.42
O 0.0398 0.4619 0.5842  2 Ti 1.88-2.10
O 0.0876 0.9578 0.5252  2 Ti 1.86-2.07
O 0.4619 0.5842 0.0398  2 Ti 1.88-2.10
O 0.5252 0.0876 0.9578  2 Ti 1.86-2.07
O 0.5842 0.0398 0.4619  2 Ti 1.88-2.10
O 0.9578 0.5252 0.0876  2 Ti 1.86-2.07

Values from the calculation:
formation energy without anion corrections: -2453 meV per atom
density of states at the Fermi level: 0.0 states/eV/cell

***

Here is an optimized crystal structure of CrAgBr2 from Alexandria. Energies are from GGA-PBEsol.

Unit cell a=9.1068 b=9.1068 c=9.1068 alpha=22.46 beta=22.46 gamma=22.46
Last column: nearest neighbours and their distance in Å.
Fractional positions:
Cr 0.0000 0.0000 0.0000  6 Br 2.60
Ag 0.5000 0.5000 0.5000  2 Br 2.84
Br 0.3932 0.3932 0.3932  3 Cr 2.60, 1 Ag 2.84
Br 0.6068 0.6068 0.6068  3 Cr 2.60, 1 Ag 2.84

Values from the calculation:
formation energy without anion corrections: 31 meV per atom
density of states at the Fermi level: 3.6 states/eV/cell

***

Asked for V across the records above, the calculation gives 18.72; 12.42; 20.21; 12.18; 16.27; 15.42; 16.35; 17.48; 28.58; 30.96; 29.95; 21.34; 20.47; 20.97; 31.15; 20.97; 14.69; 21.36; 11.62; 24.18 A^3/atom in order.